VASP calculation (PBE) on a relaxed structure of ScInAs2Se.

Geometry as POSCAR:
```
ScInAs2Se
1.0
5.273 0.000 0.000
0.000 5.273 0.000
0.000 0.000 5.425
Sc In As Se
1 1 2 1
Direct
0.000 0.000 0.000
0.500 0.500 0.500
0.000 0.500 0.500
0.500 0.000 0.500
0.500 0.500 0.000
```

Summary:
magnetic moment: 0.00 Bohr magnetons per cell
crystal system: tetragonal
E_tot: -3.911 eV/atom
formation energy without anion corrections: 0.4599 eV/atom
SG: P4/mmm

***

VASP calculation (PBE) on a relaxed structure of ScInAs2Se.

Geometry as POSCAR:
```
ScInAs2Se
1.0
5.040 0.000 0.000
0.000 5.040 0.000
0.000 0.000 5.895
Sc In As Se
1 1 2 1
Direct
0.000 0.000 0.000
0.000 0.000 0.500
0.000 0.500 0.000
0.500 0.000 0.000
0.500 0.500 0.500
```

Summary:
magnetic moment: 1.39 Bohr magnetons per cell
crystal system: tetragonal
E_tot: -4.015 eV/atom
formation energy without anion corrections: 0.3560 eV/atom
SG: P4/mmm

***

Which value of magnetic moment does entry 2 give? 1.39 Bohr magnetons per cell